1.
## Dy3Sn5O12 (PBE)

Data for a relaxed structure of Dy3Sn5O12.

Output
Space group: No. 230
Size of the total moment in μB/f.u.: 0.00
E_tot in Ry per atom: -0.490
Uncorrected formation energy in kJ per mole of atoms: -192.9
Calculated volume in Å³/cell: 1185.44

Unit cell a=11.5478 b=11.5478 c=11.5478 alpha=109.47 beta=109.47 gamma=109.47
Fractional coordinates of all 80 atoms:
Dy1 0.7500 0.3750 0.1250
Dy2 0.8750 0.7500 0.1250
Dy3 0.3750 0.7500 0.6250
Dy4 0.2500 0.1250 0.3750
Dy5 0.8750 0.1250 0.2500
Dy6 0.3750 0.6250 0.2500
Dy7 0.6250 0.3750 0.7500
Dy8 0.1250 0.8750 0.7500
Dy9 0.7500 0.8750 0.6250
Dy10 0.6250 0.2500 0.3750
Dy11 0.1250 0.2500 0.8750
Dy12 0.2500 0.6250 0.8750
Sn1 0.1250 0.3750 0.2500
Sn2 0.0000 0.5000 0.0000
Sn3 0.0000 0.0000 0.0000
Sn4 0.3750 0.2500 0.1250
Sn5 0.5000 0.0000 0.5000
Sn6 0.5000 0.5000 0.0000
Sn7 0.1250 0.7500 0.3750
Sn8 0.7500 0.1250 0.8750
Sn9 0.7500 0.6250 0.3750
Sn10 0.3750 0.1250 0.7500
Sn11 0.6250 0.8750 0.2500
Sn12 0.5000 0.5000 0.5000
Sn13 0.5000 0.0000 0.0000
Sn14 0.0000 0.0000 0.5000
Sn15 0.2500 0.3750 0.6250
Sn16 0.2500 0.8750 0.1250
Sn17 0.0000 0.5000 0.5000
Sn18 0.8750 0.2500 0.6250
Sn19 0.6250 0.7500 0.8750
Sn20 0.8750 0.6250 0.7500
O1 0.7102 0.1307 0.0463
O2 0.3361 0.5463 0.4156
O3 0.9537 0.3693 0.2898
O4 0.5463 0.2102 0.1307
O5 0.5795 0.7102 0.6639
O6 0.9537 0.5844 0.1639
O7 0.3361 0.7898 0.4205
O8 0.0844 0.9205 0.1307
O9 0.5844 0.9537 0.6639
O10 0.7102 0.5795 0.1639
O11 0.7898 0.4537 0.3693
O12 0.8361 0.9156 0.0463
O13 0.1307 0.7102 0.5463
O14 0.3693 0.4156 0.0795
O15 0.0795 0.9156 0.3693
O16 0.4205 0.1307 0.5844
O17 0.0795 0.1639 0.2102
O18 0.4537 0.6639 0.0844
O19 0.8361 0.9205 0.2898
O20 0.1307 0.4205 0.0844
O21 0.3693 0.9537 0.7898
O22 0.5844 0.6307 0.4205
O23 0.9156 0.8361 0.5463
O24 0.7898 0.3361 0.9205
O25 0.4156 0.3693 0.5795
O26 0.0844 0.1639 0.4537
O27 0.2102 0.6639 0.0795
O28 0.1639 0.0795 0.7102
O29 0.6307 0.0463 0.2102
O30 0.8693 0.5795 0.9156
O31 0.5463 0.3361 0.9156
O32 0.5795 0.8693 0.4156
O33 0.9205 0.8361 0.7898
O34 0.9205 0.0844 0.6307
O35 0.8693 0.2898 0.4537
O36 0.1639 0.0844 0.9537
O37 0.6307 0.5844 0.9205
O38 0.4156 0.0463 0.3361
O39 0.2898 0.4205 0.8361
O40 0.2102 0.5463 0.6307
O41 0.9156 0.0795 0.8693
O42 0.6639 0.2102 0.5795
O43 0.4537 0.7898 0.8693
O44 0.0463 0.4156 0.8361
O45 0.4205 0.2898 0.3361
O46 0.0463 0.6307 0.7102
O47 0.6639 0.4537 0.5844
O48 0.2898 0.8693 0.9537

---

2.
## Dy2SnO (PBE)

Data for a relaxed structure of Dy2SnO.

Output
ΔE to the lowest computed polymorph in eV per formula unit: 2.68
Space group: No. 123
Size of the total moment in μB/f.u.: 0.00
E_tot in Ry per atom: -0.423
Uncorrected formation energy in kJ per mole of atoms: -117.5
Calculated volume in Å³/cell: 76.83

Unit cell a=3.1467 b=3.1467 c=7.7597 alpha=90.00 beta=90.00 gamma=90.00
Fractional coordinates of all 4 atoms:
Sn1 0.5000 0.5000 0.5000
O1 0.5000 0.5000 0.0000
Dy1 0.0000 0.0000 0.8008
Dy2 0.0000 0.0000 0.1992